First-principles (PBE-GGA) data for a relaxed structure of Li2La2CeGe2, as listed in the Alexandria database.

Geometry as extended XYZ:
```
7
Lattice="2.298 1.327 9.191 -2.298 1.327 9.191 0.000 -2.654 9.191" Properties=species:S:1:pos:R:3 pbc="T T T"
Li 0.000 0.000 2.932
Li 0.000 0.000 24.640
La 0.000 0.000 10.277
La 0.000 0.000 17.295
Ce 0.000 0.000 13.786
Ge 0.000 0.000 6.360
Ge 0.000 0.000 21.212
```

Calculated values
Its density of states at the Fermi level is 1.399 states/eV/atom. The final energy is -32.037 eV/cell. Its volume is 168.2 Å³/f.u.

First-principles (PBE-GGA) data for a relaxed structure of AgBSbPt2, as listed in the Alexandria database.

Geometry as extended XYZ:
```
5
Lattice="5.025 0.000 0.000 0.000 5.025 0.000 0.000 0.000 4.972" Properties=species:S:1:pos:R:3 pbc="T T T"
Ag 0.000 0.000 0.000
B 2.513 2.513 2.486
Sb 0.000 0.000 2.486
Pt 0.000 2.513 0.000
Pt 2.513 0.000 0.000
```

Calculated values
Its density of states at the Fermi level is 1.117 states/eV/atom. Its uncorrected formation energy is 1966 meV per atom. The final energy is -15.904 eV/cell. Its volume is 125.6 Å³/f.u.